No. 1
# SnPd3Br GGA-PBE relaxed
data_SnPd3Br
_symmetry_space_group_name_H-M 'P m -3 m'
_symmetry_Int_Tables_number 221
_symmetry_space_group_name_Hall '-P 4 2 3'
_cell_length_a 5.0187
_cell_length_b 5.0187
_cell_length_c 5.0187
_cell_angle_alpha 90.00
_cell_angle_beta 90.00
_cell_angle_gamma 90.00
loop_
_atom_site_label
_atom_site_type_symbol
_atom_site_fract_x
_atom_site_fract_y
_atom_site_fract_z
Sn1 Sn 0.0000 0.0000 0.0000
Pd1 Pd 0.0000 0.0000 0.5000
Br1 Br 0.5000 0.5000 0.5000
# Raw total energy = -3.801 eV/atom
# Magnetization = 0.00 μB/cell
# Energy above the lowest structure with this stoichiometry = 57 meV per atom
# E_form (uncorrected) = 0.4494 eV/atom

No. 2
# SnTe2PdBr GGA-PBE relaxed
data_SnTe2PdBr
_symmetry_space_group_name_H-M 'P 4/m m m'
_symmetry_Int_Tables_number 123
_symmetry_space_group_name_Hall '-P 4 2'
_cell_length_a 5.6319
_cell_length_b 5.6319
_cell_length_c 5.4903
_cell_angle_alpha 90.00
_cell_angle_beta 90.00
_cell_angle_gamma 90.00
loop_
_atom_site_label
_atom_site_type_symbol
_atom_site_fract_x
_atom_site_fract_y
_atom_site_fract_z
Sn1 Sn 0.0000 0.0000 0.0000
Te1 Te 0.0000 0.5000 0.5000
Pd1 Pd 0.5000 0.5000 0.0000
Br1 Br 0.0000 0.0000 0.5000
# Raw total energy = -2.484 eV/atom
# Magnetization = 0.36 μB/cell
# E_form (uncorrected) = 0.9467 eV/atom

No. 3
# SnPdW2Br GGA-PBE relaxed
data_SnPdW2Br
_symmetry_space_group_name_H-M 'P 4/m m m'
_symmetry_Int_Tables_number 123
_symmetry_space_group_name_Hall '-P 4 2'
_cell_length_a 4.9526
_cell_length_b 4.9526
_cell_length_c 4.9096
_cell_angle_alpha 90.00
_cell_angle_beta 90.00
_cell_angle_gamma 90.00
loop_
_atom_site_label
_atom_site_type_symbol
_atom_site_fract_x
_atom_site_fract_y
_atom_site_fract_z
Sn1 Sn 0.0000 0.0000 0.0000
Pd1 Pd 0.5000 0.5000 0.5000
W1 W 0.0000 0.5000 0.5000
Br1 Br 0.5000 0.5000 0.0000
# Raw total energy = -5.425 eV/atom
# Magnetization = 2.98 μB/cell
# E_form (uncorrected) = 1.9304 eV/atom

No. 4
# SrPdBr2 GGA-PBE relaxed
data_SrPdBr2
_symmetry_space_group_name_H-M 'F m -3 m'
_symmetry_Int_Tables_number 225
_symmetry_space_group_name_Hall '-F 4 2 3'
_cell_length_a 7.3642
_cell_length_b 7.3642
_cell_length_c 7.3642
_cell_angle_alpha 90.00
_cell_angle_beta 90.00
_cell_angle_gamma 90.00
loop_
_atom_site_label
_atom_site_type_symbol
_atom_site_fract_x
_atom_site_fract_y
_atom_site_fract_z
Sr1 Sr 0.0000 0.0000 0.0000
Pd1 Pd 0.0000 0.0000 0.5000
Br1 Br 0.2500 0.2500 0.2500
# Raw total energy = -3.608 eV/atom
# Magnetization = 0.00 μB/cell
# Energy above the lowest structure with this stoichiometry = 2 meV per atom
# E_form (uncorrected) = -1.0531 eV/atom